Record 1
Density functional theory data (PBE-GGA) for an optimized crystal structure of Al2Cu5Au2.

a b c (Å): 5.1324 16.3797 6.3881
angles (deg): 90.00 90.00 90.00
Closest atoms and distances in Å follow each position.
Space group Imma (No. 74)
Asymmetric unit:
Al (0.0000, 0.0663, 0.0986) (multiplicity 8)  2 Cu 2.40, 1 Al 2.51
Cu (0.0000, 0.2500, 0.9715) (multiplicity 4)  4 Cu 2.51, 3 Au 2.53-2.58
Cu (0.2500, 0.1169, 0.7500) (multiplicity 8)  2 Cu 2.57, 2 Al 2.70, 4 Au 2.77-2.80
Cu (0.2500, 0.1754, 0.2500) (multiplicity 8)  2 Al 2.40, 5 Cu 2.44-2.57
Au (0.0000, 0.0000, 0.5000) (multiplicity 4)  6 Al 2.79-2.86, 4 Cu 2.80
Au (0.0000, 0.2500, 0.5749) (multiplicity 4)  11 Cu 2.53-2.77

Values from the calculation:
Crystal system ... orthorhombic
Relative energy among the computed polymorphs ... 153 meV per atom

Record 2
Density functional theory data (PBE-GGA) for an optimized crystal structure of Al3Cu2Au4.

a b c (Å): 13.4059 9.3244 4.6345
angles (deg): 90.00 100.59 90.00
Closest atoms and distances in Å follow each position.
Space group C2/c (No. 15)
Asymmetric unit:
Al (0.0000, 0.1223, 0.2500) (multiplicity 4)  6 Cu 2.60-2.65, 4 Au 2.75-2.81
Al (0.1706, 0.3676, 0.0823) (multiplicity 8)  7 Au 2.66-2.83, 1 Cu 2.74
Cu (0.0967, 0.1204, 0.8025) (multiplicity 8)  1 Cu 2.55, 4 Al 2.60-2.74, 3 Au 2.66-2.70
Au (0.0657, 0.3731, 0.5331) (multiplicity 8)  1 Cu 2.66, 4 Al 2.67-2.79, 4 Au 2.88-2.93
Au (0.2131, 0.1148, 0.3441) (multiplicity 8)  5 Al 2.66-2.83, 3 Cu 2.68-2.86, 2 Au 2.92-2.98

Values from the calculation:
Crystal system ... monoclinic
Relative energy among the computed polymorphs ... 15 meV per atom

Record 3
Density functional theory data (PBE-GGA) for an optimized crystal structure of Al2CuAu5.

a b c (Å): 5.5465 11.0306 4.3479
angles (deg): 90.00 90.00 90.00
Closest atoms and distances in Å follow each position.
Space group Pbam (No. 55)
Asymmetric unit:
Al (0.1863, 0.1277, 0.0000) (multiplicity 4)  8 Au 2.69-2.88
Cu (0.0000, 0.5000, 0.5000) (multiplicity 2)  8 Au 2.66-2.77
Au (0.0000, 0.0000, 0.5000) (multiplicity 2)  2 Cu 2.77, 4 Al 2.79, 6 Au 3.02-3.03
Au (0.1205, 0.7330, 0.5000) (multiplicity 4)  1 Cu 2.66, 2 Al 2.69, 4 Au 2.80-2.97
Au (0.1895, 0.3890, 0.0000) (multiplicity 4)  2 Cu 2.71, 4 Al 2.72-2.88, 4 Au 2.97-3.03

Values from the calculation:
Crystal system ... orthorhombic
Relative energy among the computed polymorphs ... 0 meV per atom

Record 4
Density functional theory data (PBE-GGA) for an optimized crystal structure of Al2CuAu5.

a b c (Å): 3.2813 17.1229 10.9870
angles (deg): 90.00 90.00 90.00
Closest atoms and distances in Å follow each position.
Space group Cmcm (No. 63)
Asymmetric unit:
Al (0.0000, 0.1306, 0.0052) (multiplicity 8)  6 Au 2.51-2.74
Cu (0.0000, 0.1400, 0.7500) (multiplicity 4)  4 Au 2.61-2.62, 2 Al 2.81
Au (0.0000, 0.0102, 0.6246) (multiplicity 8)  2 Al 2.51-2.74, 1 Cu 2.61, 3 Au 2.76-2.79
Au (0.0000, 0.1313, 0.2500) (multiplicity 4)  2 Al 2.69, 6 Au 2.79-2.87
Au (0.0000, 0.2642, 0.6100) (multiplicity 8)  3 Al 2.61-2.70, 1 Cu 2.62, 2 Au 2.87

Values from the calculation:
Crystal system ... orthorhombic
Relative energy among the computed polymorphs ... 158 meV per atom

Record 5
Density functional theory data (PBE-GGA) for an optimized crystal structure of Al2CuAu.

a b c (Å): 4.1264 4.1264 7.1300
angles (deg): 90.00 90.00 90.00
Closest atoms and distances in Å follow each position.
Space group I4/mmm (No. 139)
Asymmetric unit:
Al (0.0000, 0.5000, 0.2500) (multiplicity 4)  4 Cu 2.73, 4 Au 2.73, 4 Al 2.92
Cu (0.0000, 0.0000, 0.0000) (multiplicity 2)  8 Al 2.73, 4 Au 2.92
Au (0.0000, 0.0000, 0.5000) (multiplicity 2)  8 Al 2.73, 4 Cu 2.92

Values from the calculation:
Crystal system ... tetragonal

Record 6
Density functional theory data (PBE-GGA) for an optimized crystal structure of AlCu5Au2.

a b c (Å): 4.6641 10.9121 8.8942
angles (deg): 90.00 99.70 90.00
Closest atoms and distances in Å follow each position.
Space group P2_1/c (No. 14)
Asymmetric unit:
Al (0.1253, 0.1923, 0.1260) (multiplicity 4)  9 Cu 2.60-2.73, 2 Au 2.64-2.67
Cu (0.1278, 0.0697, 0.6254) (multiplicity 4)  1 Al 2.60, 7 Cu 2.65-2.79, 4 Au 2.67-2.78
Cu (0.1304, 0.6818, 0.1249) (multiplicity 4)  3 Au 2.64-2.65, 7 Cu 2.65-2.77, 2 Al 2.69-2.72
Cu (0.3755, 0.6971, 0.8753) (multiplicity 4)  7 Cu 2.60-2.73, 2 Al 2.62-2.63, 3 Au 2.71-2.89
Cu (0.3767, 0.5643, 0.3746) (multiplicity 4)  6 Cu 2.60-2.75, 4 Au 2.67-2.79, 2 Al 2.71-2.73
Cu (0.3786, 0.1879, 0.8755) (multiplicity 4)  7 Cu 2.64-2.77, 3 Au 2.64-2.67, 2 Al 2.67-2.69
Au (0.1211, 0.5752, 0.6227) (multiplicity 4)  8 Cu 2.64-2.79, 2 Al 2.64-2.92, 2 Au 2.81
Au (0.3694, 0.0679, 0.3732) (multiplicity 4)  9 Cu 2.64-2.89, 1 Al 2.67, 2 Au 2.80-2.81

Values from the calculation:
Crystal system ... monoclinic
Relative energy among the computed polymorphs ... 0 meV per atom

Record 7
Density functional theory data (PBE-GGA) for an optimized crystal structure of Al2CuAu3.

a b c (Å): 12.0404 4.8679 7.3589
angles (deg): 90.00 113.80 90.00
Closest atoms and distances in Å follow each position.
Space group C2/m (No. 12)
Asymmetric unit:
Al (0.0339, 0.0000, 0.2140) (multiplicity 4)  6 Au 2.61-2.88, 2 Cu 2.85, 1 Al 2.92
Al (0.1918, 0.5000, 0.5307) (multiplicity 4)  6 Au 2.61-2.77, 1 Cu 2.80
Cu (0.1209, 0.5000, 0.1189) (multiplicity 4)  5 Au 2.63-2.73, 1 Cu 2.73, 3 Al 2.80-2.85
Au (0.0387, 0.5000, 0.7214) (multiplicity 4)  2 Cu 2.63-2.68, 4 Al 2.64-2.73
Au (0.1423, 0.0000, 0.6131) (multiplicity 4)  5 Al 2.61-2.88, 1 Cu 2.73
Au (0.1942, 0.0000, 0.0581) (multiplicity 4)  3 Al 2.61-2.77, 2 Cu 2.69

Values from the calculation:
Crystal system ... monoclinic
Relative energy among the computed polymorphs ... 0 meV per atom

Record 8
Density functional theory data (PBE-GGA) for an optimized crystal structure of AlCuAu2.

a b c (Å): 9.0743 3.0606 4.8216
angles (deg): 90.00 106.30 90.00
Closest atoms and distances in Å follow each position.
Space group C2/m (No. 12)
Asymmetric unit:
Al (0.0000, 0.0000, 0.0000) (multiplicity 2)  6 Au 2.65-2.93, 4 Cu 2.86
Cu (0.0000, 0.5000, 0.5000) (multiplicity 2)  6 Au 2.78-2.79, 4 Al 2.86, 2 Cu 3.06
Au (0.2395, 0.5000, 0.2460) (multiplicity 4)  3 Al 2.65-2.93, 3 Cu 2.78-2.79, 4 Au 2.85-2.87

Values from the calculation:
Crystal system ... monoclinic

Record 9
Density functional theory data (PBE-GGA) for an optimized crystal structure of AlCu4Au.

a b c (Å): 3.8179 4.6311 5.2772
angles (deg): 106.96 90.06 114.17
Closest atoms and distances in Å follow each position.
Space group P-1 (No. 2)
Asymmetric unit:
Al (0.0000, 0.0000, 0.0000) (multiplicity 1)  10 Cu 2.60-2.71, 2 Au 2.64
Cu (0.3249, 0.6496, 0.1590) (multiplicity 2)  7 Cu 2.57-2.71, 3 Al 2.60-2.71, 2 Au 2.71-2.72
Cu (0.3376, 0.6741, 0.6780) (multiplicity 2)  7 Cu 2.57-2.76, 2 Al 2.63, 3 Au 2.69-2.70
Au (0.0000, 0.0000, 0.5000) (multiplicity 1)  2 Al 2.64, 10 Cu 2.69-2.72

Values from the calculation:
Crystal system ... triclinic
Relative energy among the computed polymorphs ... 0 meV per atom

Record 10
Density functional theory data (PBE-GGA) for an optimized crystal structure of AlCu7Au12.

a b c (Å): 11.6849 11.6849 8.2549
angles (deg): 90.00 90.00 120.00
Closest atoms and distances in Å follow each position.
Space group R-3 (No. 148, hexagonal axes)
Asymmetric unit:
Al (0.0000, 0.0000, 0.0000) (multiplicity 3)  6 Cu 2.67, 6 Au 2.83
Cu (0.0000, 0.0000, 0.5000) (multiplicity 3)  12 Au 2.72-3.03
Cu (0.0668, 0.8201, 0.9184) (multiplicity 18)  3 Cu 2.61-2.91, 7 Au 2.62-2.84, 1 Al 2.67
Au (0.0465, 0.8497, 0.2329) (multiplicity 18)  4 Cu 2.62-2.84, 3 Au 2.82-2.92, 1 Al 2.83
Au (0.0529, 0.8054, 0.5806) (multiplicity 18)  4 Cu 2.62-2.79, 4 Au 2.82-2.93

Values from the calculation:
Crystal system ... trigonal

Record 11
Density functional theory data (PBE-GGA) for an optimized crystal structure of AlCu5Au4.

a b c (Å): 4.6510 5.4623 6.2738
angles (deg): 77.27 74.29 77.76
Closest atoms and distances in Å follow each position.
Space group P-1 (No. 2)
Asymmetric unit:
Al (0.0000, 0.0000, 0.0000) (multiplicity 1)  6 Au 2.62-2.83, 6 Cu 2.73-2.88
Cu (0.0000, 0.5000, 0.0000) (multiplicity 1)  6 Cu 2.66-2.69, 4 Au 2.72-2.77, 2 Al 2.73
Cu (0.2172, 0.7834, 0.6087) (multiplicity 2)  3 Cu 2.66-2.87, 7 Au 2.68-2.78, 1 Al 2.81
Cu (0.4081, 0.5935, 0.1927) (multiplicity 2)  5 Cu 2.68-2.87, 6 Au 2.68-2.85, 1 Al 2.88
Au (0.1854, 0.2956, 0.6169) (multiplicity 2)  1 Al 2.62, 8 Cu 2.69-2.85, 3 Au 2.86-2.93
Au (0.3744, 0.1068, 0.2024) (multiplicity 2)  2 Al 2.63-2.83, 7 Cu 2.68-2.79, 3 Au 2.86-2.93

Values from the calculation:
Crystal system ... triclinic
Relative energy among the computed polymorphs ... 0 meV per atom

Record 12
Density functional theory data (PBE-GGA) for an optimized crystal structure of Dy2Al4Cu3Au.

a b c (Å): 4.1739 4.1739 10.2917
angles (deg): 90.00 90.00 90.00
Closest atoms and distances in Å follow each position.
Space group P-4m2 (No. 115)
Asymmetric unit:
Dy (0.0000, 0.5000, 0.2461) (multiplicity 2)  8 Al 3.18-3.28, 6 Cu 3.18-3.34, 2 Au 3.34
Al (0.0000, 0.0000, 0.0000) (multiplicity 1)  4 Cu 2.48
Al (0.0000, 0.5000, 0.6394) (multiplicity 2)  3 Cu 2.37-2.53, 2 Au 2.53
Al (0.5000, 0.5000, 0.0000) (multiplicity 1)  4 Cu 2.48
Cu (0.0000, 0.5000, 0.8701) (multiplicity 2)  5 Al 2.37-2.48
Cu (0.5000, 0.5000, 0.5000) (multiplicity 1)  4 Al 2.53
Au (0.0000, 0.0000, 0.5000) (multiplicity 1)  4 Al 2.53

Values from the calculation:
Crystal system ... tetragonal

Record 13
Density functional theory data (PBE-GGA) for an optimized crystal structure of DyAl4CuAu2.

a b c (Å): 4.3472 4.3472 25.9526
angles (deg): 90.00 90.00 120.00
Closest atoms and distances in Å follow each position.
Space group R-3m (No. 166, hexagonal axes)
Asymmetric unit:
Dy (0.0000, 0.0000, 0.0000) (multiplicity 3)  8 Al 3.05-3.39
Al (0.0000, 0.0000, 0.1305) (multiplicity 6)  3 Cu 2.68, 4 Au 2.70-2.87
Al (0.0000, 0.0000, 0.4001) (multiplicity 6)  1 Cu 2.59, 3 Au 2.60
Cu (0.0000, 0.0000, 0.5000) (multiplicity 3)  8 Al 2.59-2.68
Au (0.0000, 0.0000, 0.2410) (multiplicity 6)  7 Al 2.60-2.87

Values from the calculation:
Crystal system ... trigonal

Record 14
Density functional theory data (PBE-GGA) for an optimized crystal structure of DyAlCuAu.

a b c (Å): 6.6624 6.6624 6.6624
angles (deg): 90.00 90.00 90.00
Closest atoms and distances in Å follow each position.
Space group F-43m (No. 216)
Asymmetric unit:
Dy (0.0000, 0.0000, 0.0000) (multiplicity 4)  4 Cu 2.88, 4 Au 2.88
Al (0.0000, 0.0000, 0.5000) (multiplicity 4)  4 Cu 2.88, 4 Au 2.88
Cu (0.2500, 0.2500, 0.2500) (multiplicity 4)  4 Dy 2.88, 4 Al 2.88
Au (0.2500, 0.2500, 0.7500) (multiplicity 4)  4 Dy 2.88, 4 Al 2.88

Values from the calculation:
Crystal system ... cubic

Record 15
Density functional theory data (PBE-GGA) for an optimized crystal structure of Dy2Al3CuAu4.

a b c (Å): 4.2897 4.2897 10.7088
angles (deg): 90.00 90.00 90.00
Closest atoms and distances in Å follow each position.
Space group P-4m2 (No. 115)
Asymmetric unit:
Dy (0.0000, 0.5000, 0.2449) (multiplicity 2)  8 Au 3.24-3.47, 6 Al 3.31-3.39, 2 Cu 3.39
Al (0.0000, 0.0000, 0.0000) (multiplicity 1)  4 Au 2.61
Al (0.0000, 0.5000, 0.6318) (multiplicity 2)  5 Au 2.46-2.57
Cu (0.5000, 0.5000, 0.0000) (multiplicity 1)  4 Au 2.61
Au (0.0000, 0.0000, 0.5000) (multiplicity 1)  4 Al 2.57
Au (0.0000, 0.5000, 0.8616) (multiplicity 2)  3 Al 2.46-2.61, 2 Cu 2.61
Au (0.5000, 0.5000, 0.5000) (multiplicity 1)  4 Al 2.57

Values from the calculation:
Crystal system ... tetragonal

Record 16
Density functional theory data (PBE-GGA) for an optimized crystal structure of Dy2Al4CuAu3.

a b c (Å): 4.2658 4.2658 10.5915
angles (deg): 90.00 90.00 90.00
Closest atoms and distances in Å follow each position.
Space group P-4m2 (No. 115)
Asymmetric unit:
Dy (0.0000, 0.5000, 0.2434) (multiplicity 2)  8 Al 3.26-3.45, 6 Au 3.27-3.35, 2 Cu 3.35
Al (0.0000, 0.0000, 0.5000) (multiplicity 1)  4 Au 2.59
Al (0.0000, 0.5000, 0.8723) (multiplicity 2)  3 Au 2.48-2.53, 2 Cu 2.53
Al (0.5000, 0.5000, 0.5000) (multiplicity 1)  4 Au 2.59
Cu (0.5000, 0.5000, 0.0000) (multiplicity 1)  4 Al 2.53
Au (0.0000, 0.0000, 0.0000) (multiplicity 1)  4 Al 2.53
Au (0.0000, 0.5000, 0.6380) (multiplicity 2)  5 Al 2.48-2.59

Values from the calculation:
Crystal system ... tetragonal

Record 17
Density functional theory data (PBE-GGA) for an optimized crystal structure of DyAl3CuAu.

a b c (Å): 6.1778 12.3652 5.8424
angles (deg): 90.00 90.00 90.00
Closest atoms and distances in Å follow each position.
Space group Cmcm (No. 63)
Asymmetric unit:
Dy (0.0000, 0.2110, 0.2500) (multiplicity 4)  1 Cu 2.68
Al (0.0000, 0.3632, 0.7500) (multiplicity 4)  1 Au 2.58, 1 Cu 2.58, 4 Al 2.85
Al (0.2128, 0.0000, 0.0000) (multiplicity 8)  2 Cu 2.46, 1 Al 2.63, 2 Au 2.74
Cu (0.0000, 0.4279, 0.2500) (multiplicity 4)  5 Al 2.46-2.58, 1 Dy 2.68
Au (0.0000, 0.1543, 0.7500) (multiplicity 4)  5 Al 2.58-2.74

Values from the calculation:
Crystal system ... orthorhombic

Record 18
Density functional theory data (PBE-GGA) for an optimized crystal structure of DyAlCu2Au4.

a b c (Å): 4.6440 4.6440 22.4898
angles (deg): 90.00 90.00 120.00
Closest atoms and distances in Å follow each position.
Space group R-3m (No. 166, hexagonal axes)
Asymmetric unit:
Dy (0.0000, 0.0000, 0.0000) (multiplicity 3)  8 Au 2.94-3.02, 6 Cu 3.18
Al (0.0000, 0.0000, 0.5000) (multiplicity 3)  8 Au 2.54-2.78
Cu (0.0000, 0.0000, 0.2573) (multiplicity 6)  8 Au 2.73-2.98
Au (0.0000, 0.0000, 0.1342) (multiplicity 6)  4 Cu 2.77-2.98, 3 Al 2.78, 1 Dy 3.02, 3 Au 3.05
Au (0.0000, 0.0000, 0.3869) (multiplicity 6)  1 Al 2.54, 3 Cu 2.73

Values from the calculation:
Crystal system ... trigonal

Record 19
Density functional theory data (PBE-GGA) for an optimized crystal structure of ErAlCuAu.

a b c (Å): 6.6223 6.6223 6.6223
angles (deg): 90.00 90.00 90.00
Closest atoms and distances in Å follow each position.
Space group F-43m (No. 216)
Asymmetric unit:
Er (0.0000, 0.0000, 0.0000) (multiplicity 4)  4 Au 2.87, 4 Cu 2.87
Al (0.0000, 0.0000, 0.5000) (multiplicity 4)  4 Cu 2.87, 4 Au 2.87
Cu (0.2500, 0.2500, 0.2500) (multiplicity 4)  4 Er 2.87, 4 Al 2.87
Au (0.2500, 0.2500, 0.7500) (multiplicity 4)  4 Er 2.87, 4 Al 2.87

Values from the calculation:
Crystal system ... cubic

Record 20
Density functional theory data (PBE-GGA) for an optimized crystal structure of ErAlCu2Au4.

a b c (Å): 4.6370 4.6370 22.3345
angles (deg): 90.00 90.00 120.00
Closest atoms and distances in Å follow each position.
Space group R-3m (No. 166, hexagonal axes)
Asymmetric unit:
Er (0.0000, 0.0000, 0.0000) (multiplicity 3)  8 Au 2.92-2.99, 6 Cu 3.17
Al (0.0000, 0.0000, 0.5000) (multiplicity 3)  8 Au 2.55-2.78
Cu (0.0000, 0.0000, 0.2576) (multiplicity 6)  8 Au 2.73-2.98
Au (0.0000, 0.0000, 0.1338) (multiplicity 6)  4 Cu 2.77-2.98, 3 Al 2.78, 1 Er 2.99, 3 Au 3.05
Au (0.0000, 0.0000, 0.3858) (multiplicity 6)  1 Al 2.55, 3 Cu 2.73

Values from the calculation:
Crystal system ... trigonal

Calculated formation energy? In order: 0.11; -2.22; -1.77; -0.51; -0.79; -0.85; -1.63; -0.64; -0.86; -0.54; -1.18; -4.84; -3.17; -2.13; -5.99; -6.45; -1.85; -3.07; -2.17; -3.15 eV/f.u..
E? In order: -3.82; -3.86; -3.72; -3.56; -3.91; -3.95; -3.84; -3.76; -4.04; -3.61; -3.85; -4.46; -4.17; -4.46; -4.36; -4.45; -4.18; -4.09; -4.46; -4.09 eV per atom.
Volume? In order: 14.918; 15.818; 16.626; 19.291; 15.175; 13.944; 16.443; 16.066; 13.441; 16.268; 14.767; 17.930; 17.698; 18.483; 19.706; 19.274; 18.596; 17.502; 18.151; 17.329 Å³/atom.